An optimized crystal structure of ZrFeW2, computed with PBE.

Relative energy among the computed polymorphs: 343 meV per atom
Formation energy from the elements: 0.42 eV/atom
V: 16.8 Å³ per atom
Total DFT energy (no corrections): -82.5 eV/cell

Cell: 5.3740 9.2775 2.6880 Å, 90.00 90.00 90.00°
Space group Cmmm (No. 65)
One atom of each set of equivalent atoms:
Zr (0.0000, 0.0000, 0.0000) x2
Fe (0.0000, 0.5000, 0.0000) x2
W (0.2500, 0.2500, 0.5000) x4